This record from the Alexandria database describes a relaxed Li2NiP2O7 crystal. The functional is PBE with a Hubbard U.

```
data_Li2NiP2O7
_chemical_formula_sum 'Li4 Ni2 P4 O14'
_space_group_name_H-M_alt 'P 1'
_space_group_IT_number 1
_cell_length_a 5.1728
_cell_length_b 7.4346
_cell_length_c 8.8646
_cell_angle_alpha 112.74
_cell_angle_beta 97.30
_cell_angle_gamma 102.52
loop_
_space_group_symop_operation_xyz
'x,y,z'
loop_
_atom_site_label
_atom_site_type_symbol
_atom_site_fract_x
_atom_site_fract_y
_atom_site_fract_z
Li1 Li 0.2275 0.0226 0.0928
Li2 Li 0.2728 0.6039 0.9069
Li3 Li 0.7272 0.3961 0.0931
Li4 Li 0.7725 0.9774 0.9072
Ni1 Ni 0.0252 0.2203 0.5910
Ni2 Ni 0.9748 0.7797 0.4090
P1 P 0.3027 0.1151 0.7988
P2 P 0.3637 0.4552 0.3591
P3 P 0.6363 0.5448 0.6409
P4 P 0.6973 0.8849 0.2012
O1 O 0.1243 0.9778 0.8602
O2 O 0.1303 0.5384 0.3396
O3 O 0.2204 0.3169 0.8296
O4 O 0.2358 0.0093 0.5990
O5 O 0.3529 0.3665 0.5064
O6 O 0.3934 0.8318 0.1249
O7 O 0.4386 0.3167 0.2103
O8 O 0.5614 0.6833 0.7897
O9 O 0.6066 0.1682 0.8751
O10 O 0.6471 0.6335 0.4936
O11 O 0.7642 0.9907 0.4010
O12 O 0.7796 0.6831 0.1704
O13 O 0.8697 0.4616 0.6604
O14 O 0.8757 0.0222 0.1398
```

DOS at the Fermi energy ... 0.00 states/eV per cell
Theoretical density ... 2.7 g/cm³
Polymorph energy (0 for the lowest one) ... 1.36 eV per formula unit